# 1
# LiTcH2Se (GGA-PBE, relaxed)
# * space-group type: No. 123
# * size of the total moment: 0.1 μB/f.u.
# * mass density: 4.9 g/cm³
# * DOS(E_F): 2.9 states/eV/cell
# * raw total energy: -4.5496 eV/atom
data_LiTcH2Se
_chemical_formula_sum 'Li1 Tc1 H2 Se1'
_symmetry_space_group_name_H-M 'P 1'
_symmetry_Int_Tables_number 1
_cell_length_a 3.635
_cell_length_b 3.635
_cell_length_c 4.780
_cell_angle_alpha 90.00
_cell_angle_beta 90.00
_cell_angle_gamma 90.00
loop_
_symmetry_equiv_pos_as_xyz
'x,y,z'
loop_
_atom_site_label
_atom_site_type_symbol
_atom_site_fract_x
_atom_site_fract_y
_atom_site_fract_z
_atom_site_occupancy
Li1 Li 0.000 0.000 0.000 1
Tc1 Tc 0.500 0.500 0.500 1
H1 H 0.000 0.500 0.500 1
H2 H 0.500 0.000 0.500 1
Se1 Se 0.500 0.500 0.000 1

=====

# 2
# La2SiAgH (GGA-PBE, relaxed)
# * space-group type: No. 123
# * size of the total moment: 0.0 μB/f.u.
# * mass density: 6.4 g/cm³
# * DOS(E_F): 3.3 states/eV/cell
# * raw total energy: -4.6945 eV/atom
data_La2SiAgH
_chemical_formula_sum 'La2 Si1 Ag1 H1'
_symmetry_space_group_name_H-M 'P 1'
_symmetry_Int_Tables_number 1
_cell_length_a 5.069
_cell_length_b 5.069
_cell_length_c 4.159
_cell_angle_alpha 90.00
_cell_angle_beta 90.00
_cell_angle_gamma 90.00
loop_
_symmetry_equiv_pos_as_xyz
'x,y,z'
loop_
_atom_site_label
_atom_site_type_symbol
_atom_site_fract_x
_atom_site_fract_y
_atom_site_fract_z
_atom_site_occupancy
La1 La 0.000 0.500 0.000 1
La2 La 0.500 0.000 0.000 1
Si1 Si 0.000 0.000 0.500 1
Ag1 Ag 0.500 0.500 0.500 1
H1 H 0.500 0.500 0.000 1

=====

# 3
# TlTc3Te (GGA-PBE, relaxed)
# * space-group type: No. 221
# * size of the total moment: 2.8 μB/f.u.
# * mass density: 9.0 g/cm³
# * E above lowest polymorph: 0 meV per atom
# * DOS(E_F): 4.9 states/eV/cell
# * formation energy (no corrections): 8.0 eV per formula unit
# * raw total energy: -5.7221 eV/atom
data_TlTc3Te
_chemical_formula_sum 'Tl1 Tc3 Te1'
_symmetry_space_group_name_H-M 'P 1'
_symmetry_Int_Tables_number 1
_cell_length_a 4.866
_cell_length_b 4.866
_cell_length_c 4.866
_cell_angle_alpha 90.00
_cell_angle_beta 90.00
_cell_angle_gamma 90.00
loop_
_symmetry_equiv_pos_as_xyz
'x,y,z'
loop_
_atom_site_label
_atom_site_type_symbol
_atom_site_fract_x
_atom_site_fract_y
_atom_site_fract_z
_atom_site_occupancy
Tl1 Tl 0.000 0.000 0.000 1
Tc1 Tc 0.000 0.500 0.500 1
Tc2 Tc 0.500 0.000 0.500 1
Tc3 Tc 0.500 0.500 0.000 1
Te1 Te 0.500 0.500 0.500 1